Compound: IrAuSO
Source: OQMD via LeMat-Bulk
Functional: PBE-GGA
Structure: optimized geometry

POSCAR file:
```
IrAuSO
1.0
5.261 0.000 0.093
0.000 5.037 0.000
-0.217 0.000 9.948
Au Ir O S
4 4 4 4
Cartesian
4.962 1.638 3.428
1.717 0.524 4.850
3.327 3.042 5.191
0.081 4.156 6.612
3.057 1.555 1.296
4.862 4.502 1.340
0.182 1.983 8.701
1.987 4.073 8.745
1.812 2.591 0.097
4.572 2.652 0.424
0.472 0.133 9.617
3.232 0.072 9.944
1.445 0.310 2.402
3.388 3.355 2.777
1.655 0.837 7.264
3.599 2.828 7.639
```

Computed properties:
Symmetry   P2_1 (4)
Spin magnetization   0.00 μB per atom

Compound: IrAuSeO
Source: OQMD via LeMat-Bulk
Functional: PBE-GGA
Structure: optimized geometry

POSCAR file:
```
IrAuSeO
1.0
-1.521 3.005 3.898
3.850 -2.050 3.082
6.435 7.277 -3.098
Au Ir O Se
4 4 4 4
Cartesian
4.497 3.175 4.505
3.101 5.390 2.856
5.352 3.455 1.823
4.225 5.137 -0.517
4.143 -0.746 2.802
2.050 1.736 4.121
6.913 6.102 -0.750
5.109 8.014 -0.169
0.706 0.754 2.989
3.003 -0.111 4.447
5.096 9.656 1.139
7.347 8.883 2.717
1.161 3.993 3.803
3.699 1.603 2.341
4.872 7.009 2.036
7.012 5.406 1.593
```

Computed properties:
Symmetry   P2_1 (4)
Spin magnetization   0.00 μB per atom

Across the entries above, total DFT energy (no corrections) takes the values -5.37, -5.19 eV/atom, respectively.